Entry 1:
Density functional theory data (GGA-PBE) for an optimized crystal structure of InCu2Cl.

The structure in POSCAR format:
```
InCu2Cl
1.0
0.3151 3.2867 3.3969
-2.9546 3.7028 -0.0055
-3.3868 0.3327 3.2954
Cl Cu In
1 2 1
Direct
0.0000 0.0000 0.0000
0.2500 0.2500 0.2500
0.7500 0.7500 0.7500
0.5000 0.5000 0.5000
```

Output
Spin magnetization   0.00 μB per atom
Energy   -11.185 eV per cell
E_form (uncorrected)   1.59 eV/f.u.
ΔE to the lowest computed polymorph   0.494 eV/atom

Entry 2:
Density functional theory data (GGA-PBE) for an optimized crystal structure of Mg2IrRu.

The structure in POSCAR format:
```
Mg2IrRu
1.0
3.8984 0.0000 0.0000
0.0000 2.8396 0.3767
0.0000 2.0719 6.0207
Ir Mg Ru
1 2 1
Direct
0.5000 0.7645 0.7361
0.0000 0.0162 0.9838
0.5000 0.2363 0.2634
0.0000 0.4830 0.5167
```

Output
Formation energy from the elements   -0.7 kcal/mol of atoms
Spin magnetization   0.00 μB per atom
Energy   -21.453 eV per cell

Entry 3:
Density functional theory data (GGA-PBE) for an optimized crystal structure of LaTiV3.

The structure in POSCAR format:
```
LaTiV3
1.0
-1.3918 4.4278 0.9077
-2.6925 -0.0493 -3.8877
-3.6304 -1.6609 2.5353
Ti La V
1 1 3
Direct
0.0000 0.0000 0.0000
0.5000 0.5000 0.5000
0.0000 0.5000 0.0000
0.0000 0.0000 0.5000
0.5000 0.0000 0.0000
```

Output
Formation energy from the elements   20.7 kcal/mol of atoms
Spin magnetization   1.12 μB per atom
Energy   -35.696 eV per cell
ΔE to the lowest computed polymorph   0.000 eV/atom

Entry 4:
Density functional theory data (GGA-PBE) for an optimized crystal structure of PrCu10Ag.

The structure in POSCAR format:
```
PrCu10Ag
1.0
-3.2671 1.5930 1.9245
-2.3378 0.4930 -4.3767
-3.3436 -7.9350 0.8922
Pr Cu Ag
1 10 1
Direct
0.0000 0.0000 0.0000
0.0000 0.0000 0.3463
0.0000 0.5000 0.8123
0.0000 0.5000 0.1877
0.0000 0.0000 0.6537
0.5000 0.0000 0.5000
0.5000 0.5000 0.0000
0.5000 0.2496 0.2540
0.5000 0.7504 0.7460
0.5000 0.7504 0.2540
0.5000 0.2496 0.7460
0.0000 0.5000 0.5000
```

Output
Formation energy from the elements   -0.5 kcal/mol of atoms
Spin magnetization   0.00 μB per atom
Energy   -48.845 eV per cell

Entry 5:
Density functional theory data (GGA-PBE) for an optimized crystal structure of Rb3CoCl5.

The structure in POSCAR format:
```
Rb3CoCl5
1.0
-4.5101 4.5101 7.1341
4.5101 -4.5101 7.1341
4.5101 4.5101 -7.1341
Rb Co Cl
6 2 10
Direct
0.2500 0.2500 0.0000
0.7500 0.7500 0.0000
0.1661 0.6661 0.8321
0.8339 0.3339 0.1679
0.6661 0.8339 0.5000
0.3339 0.1661 0.5000
0.7500 0.2500 0.5000
0.2500 0.7500 0.5000
0.7941 0.2941 0.7803
0.2059 0.7059 0.2197
0.5138 0.0138 0.2197
0.2941 0.5138 0.5000
0.9862 0.2059 0.5000
0.4862 0.9862 0.7803
0.7059 0.4862 0.5000
0.0138 0.7941 0.5000
0.0000 0.0000 0.0000
0.5000 0.5000 0.0000
```

Output
Spin magnetization   0.33 μB per atom
Energy   -65.857 eV per cell
E_form (uncorrected)   -13.69 eV/f.u.

Entry 6:
Density functional theory data (GGA-PBE) for an optimized crystal structure of SrTl2Sn.

The structure in POSCAR format:
```
SrTl2Sn
1.0
4.9651 0.0000 0.0000
0.0000 4.9374 0.0000
0.0000 0.0000 4.9374
Sr Tl Sn
1 2 1
Direct
0.5000 0.5000 0.5000
0.0000 0.0000 0.5000
0.0000 0.5000 0.0000
0.5000 0.0000 0.0000
```

Output
Formation energy from the elements   -7.0 kcal/mol of atoms
Spin magnetization   0.00 μB per atom
Energy   -11.640 eV per cell
ΔE to the lowest computed polymorph   0.000 eV/atom

Entry 7:
Density functional theory data (GGA-PBE) for an optimized crystal structure of Dy2YMg2.

The structure in POSCAR format:
```
Dy2YMg2
1.0
-0.8624 -1.6865 3.0213
6.8880 -5.6378 -1.1811
5.3353 5.5502 4.6211
Dy Y Mg
4 2 4
Direct
0.0000 0.3704 0.8704
0.0000 0.8704 0.6296
0.0000 0.6296 0.1296
0.0000 0.1296 0.3704
0.0000 0.0000 0.0000
0.0000 0.5000 0.5000
0.5000 0.1688 0.6688
0.5000 0.6688 0.8312
0.5000 0.8312 0.3312
0.5000 0.3312 0.1688
```

Output
Formation energy from the elements   1.5 kcal/mol of atoms
Spin magnetization   0.00 μB per atom
Energy   -37.046 eV per cell
ΔE to the lowest computed polymorph   0.144 eV/atom

Entry 8:
Density functional theory data (GGA-PBE) for an optimized crystal structure of La4PmHo6.

The structure in POSCAR format:
```
La4PmHo6
1.0
7.7538 0.0000 0.0000
0.0000 7.7538 0.0000
-3.8769 -3.8769 6.5766
La Pm Ho
4 1 6
Direct
0.1015 0.7474 0.8490
0.8985 0.8985 0.1510
0.7474 0.1015 0.8490
0.2526 0.2526 0.1510
0.5000 0.5000 0.0000
0.9259 0.4399 0.3658
0.4399 0.9259 0.3658
0.5601 0.5601 0.6342
0.0000 0.5000 0.0000
0.0741 0.0741 0.6342
0.5000 0.0000 0.0000
```

Output
Formation energy from the elements   10.3 kcal/mol of atoms
Spin magnetization   0.00 μB per atom
Energy   -46.993 eV per cell
ΔE to the lowest computed polymorph   0.151 eV/atom

Entry 9:
Density functional theory data (GGA-PBE) for an optimized crystal structure of Na2PaCrS4.

The structure in POSCAR format:
```
Na2PaCrS4
1.0
-0.1877 2.5596 2.9978
-5.9387 -2.0964 1.4181
4.6234 -3.9014 3.6207
Na Pa Cr S
2 1 1 4
Direct
0.5000 0.0000 0.5000
0.0000 0.5000 0.5000
0.5000 0.5000 0.0000
0.0000 0.0000 0.0000
0.5000 0.2317 0.2168
0.5000 0.7683 0.7832
0.0000 0.2459 0.7759
0.0000 0.7541 0.2241
```

Output
Spin magnetization   0.49 μB per atom
Energy   -47.822 eV per cell
E_form (uncorrected)   -9.55 eV/f.u.

Entry 10:
Density functional theory data (GGA-PBE) for an optimized crystal structure of Pm2IrO6.

The structure in POSCAR format:
```
Pm2IrO6
1.0
-4.6114 2.6509 -1.1318
-2.7640 -2.7892 4.7290
2.6753 5.3274 4.7058
Pm Ir O
4 2 12
Direct
0.9652 0.4058 0.7497
0.5348 0.9058 0.7503
0.4652 0.0942 0.2497
0.0348 0.5942 0.2503
0.5000 0.5000 0.0000
0.0000 0.0000 0.5000
0.8639 0.9479 0.2589
0.8609 0.7221 0.5693
0.8011 0.6551 0.9482
0.6989 0.1551 0.5518
0.6391 0.2221 0.9307
0.6361 0.4479 0.2411
0.1361 0.0521 0.7411
0.1391 0.2779 0.4307
0.1989 0.3449 0.0518
0.3011 0.8449 0.4482
0.3609 0.7779 0.0693
0.3639 0.5521 0.7589
```

Output
Spin magnetization   0.32 μB per atom
Energy   -135.739 eV per cell
E_form (uncorrected)   -19.76 eV/f.u.

Entry 11:
Density functional theory data (GGA-PBE) for an optimized crystal structure of I3BrCl.

The structure in POSCAR format:
```
I3BrCl
1.0
5.9024 0.0000 0.0000
0.0000 5.9024 0.0000
0.0000 0.0000 5.9024
I Br Cl
3 1 1
Direct
0.0000 0.5000 0.0000
0.0000 0.0000 0.5000
0.5000 0.0000 0.0000
0.0000 0.0000 0.0000
0.5000 0.5000 0.5000
```

Output
Spin magnetization   0.29 μB per atom
Energy   -5.547 eV per cell
E_form (uncorrected)   2.62 eV/f.u.
ΔE to the lowest computed polymorph   0.566 eV/atom

Entry 12:
Density functional theory data (GGA-PBE) for an optimized crystal structure of KBaSb2.

The structure in POSCAR format:
```
KBaSb2
1.0
6.2781 -0.0002 0.0000
1.9057 5.9819 0.0000
-4.0919 -2.9908 3.7048
Ba K Sb
1 1 2
Direct
0.2500 0.7500 0.5000
0.7500 0.2500 0.5000
0.0000 0.0000 0.0000
0.5000 0.5000 0.0000
```

Output
Spin magnetization   0.00 μB per atom
Energy   -13.569 eV per cell
E_form (uncorrected)   -2.30 eV/f.u.
ΔE to the lowest computed polymorph   0.072 eV/atom

Entry 13:
Density functional theory data (GGA-PBE) for an optimized crystal structure of Rb3PH.

The structure in POSCAR format:
```
Rb3PH
1.0
4.5801 0.0000 -0.0006
2.2901 7.4854 -0.4231
0.0015 2.6239 11.0767
Rb P H
6 2 2
Direct
0.2323 0.1040 0.2901
0.4875 0.5937 0.1281
0.2008 0.1670 0.9310
0.7003 0.1678 0.6296
0.4560 0.6567 0.7690
0.9878 0.5930 0.4294
0.8178 0.9332 0.1129
0.8706 0.8275 0.9462
0.0883 0.3918 0.6858
0.5997 0.3689 0.3732
```

Output
Spin magnetization   0.03 μB per atom
Energy   -24.786 eV per cell
ΔE to the lowest computed polymorph   0.000 eV/atom

Entry 14:
Density functional theory data (GGA-PBE) for an optimized crystal structure of SmZrZnHg.

The structure in POSCAR format:
```
SmZrZnHg
1.0
5.0755 0.0000 0.0000
2.5377 4.3955 0.0000
2.5377 1.4652 4.1441
Zr Zn Hg Sm
1 1 1 1
Direct
0.2500 0.2500 0.2500
0.0000 0.0000 0.0000
0.5000 0.5000 0.5000
0.7500 0.7500 0.7500
```

Output
Formation energy from the elements   -4.3 kcal/mol of atoms
Spin magnetization   0.19 μB per atom
Energy   -15.596 eV per cell

Entry 15:
Density functional theory data (GGA-PBE) for an optimized crystal structure of CeDy8Tm5.

The structure in POSCAR format:
```
CeDy8Tm5
1.0
7.8866 0.5801 -2.6122
-3.9649 6.8421 -2.6122
-0.3065 -0.5801 8.3023
Ce Dy Tm
1 8 5
Direct
0.2500 0.7500 0.5000
0.0229 0.7738 0.1037
0.2262 0.3299 0.2491
0.5739 0.8189 0.4111
0.1811 0.5922 0.7550
0.8372 0.4261 0.2450
0.0808 0.9771 0.7509
0.6701 0.9192 0.8963
0.4078 0.1628 0.5889
0.8915 0.2879 0.8213
0.7121 0.5334 0.6035
0.4666 0.0701 0.1787
0.5000 0.5000 0.0000
0.9299 0.1085 0.3965
```

Output
Formation energy from the elements   5.8 kcal/mol of atoms
Spin magnetization   0.02 μB per atom
Energy   -61.573 eV per cell

Entry 16:
Density functional theory data (GGA-PBE) for an optimized crystal structure of CaScTl4.

The structure in POSCAR format:
```
CaScTl4
1.0
0.0000 4.4174 4.4174
4.4174 0.0000 4.4174
4.4174 4.4174 0.0000
Ca Sc Tl
1 1 4
Direct
0.7500 0.7500 0.7500
0.0000 0.0000 0.0000
0.8759 0.3747 0.3747
0.3747 0.3747 0.8759
0.3747 0.8759 0.3747
0.3747 0.3747 0.3747
```

Output
Formation energy from the elements   0.7 kcal/mol of atoms
Spin magnetization   0.00 μB per atom
Energy   -17.626 eV per cell

Entry 17:
Density functional theory data (GGA-PBE) for an optimized crystal structure of SrAlTl2.

The structure in POSCAR format:
```
SrAlTl2
1.0
6.0129 -0.0141 -0.0440
-2.8942 5.9143 -0.0059
0.2245 1.0781 3.3743
Sr Tl Al
1 2 1
Direct
0.5000 0.5000 0.0000
0.0000 0.0000 0.0000
0.5000 0.0000 0.5000
0.0000 0.5000 0.5000
```

Output
Formation energy from the elements   0.5 kcal/mol of atoms
Spin magnetization   0.00 μB per atom
Energy   -10.067 eV per cell

Entry 18:
Density functional theory data (GGA-PBE) for an optimized crystal structure of CaHg3Mo.

The structure in POSCAR format:
```
CaHg3Mo
1.0
-1.6024 2.1830 4.5235
-5.0149 -0.9607 -1.3129
0.2807 -4.7018 2.3685
Mo Ca Hg
1 1 3
Direct
0.0000 0.0000 0.0000
0.5000 0.5000 0.5000
0.0000 0.5000 0.0000
0.0000 0.0000 0.5000
0.5000 0.0000 0.0000
```

Output
Formation energy from the elements   10.0 kcal/mol of atoms
Spin magnetization   0.00 μB per atom
Energy   -11.570 eV per cell
ΔE to the lowest computed polymorph   0.000 eV/atom

Entry 19:
Density functional theory data (GGA-PBE) for an optimized crystal structure of Sm7Bi2Os2.

The structure in POSCAR format:
```
Sm7Bi2Os2
1.0
-1.9330 -3.5008 -6.2322
6.3912 -2.7795 -0.4211
-0.9059 -5.9123 3.6019
Sm Bi Os
7 2 2
Direct
0.2372 0.0000 0.5000
0.7628 0.5000 0.0000
0.7628 0.0000 0.5000
0.2372 0.5000 0.0000
0.0000 0.0000 0.0000
0.7749 0.5000 0.5000
0.2251 0.5000 0.5000
0.5000 0.2039 0.7961
0.5000 0.7961 0.2039
0.0000 0.2785 0.2785
0.0000 0.7215 0.7215
```

Output
Formation energy from the elements   -6.6 kcal/mol of atoms
Spin magnetization   0.00 μB per atom
Energy   -66.403 eV per cell

Entry 20:
Density functional theory data (GGA-PBE) for an optimized crystal structure of NbCo5W.

The structure in POSCAR format:
```
NbCo5W
1.0
4.1885 0.0000 0.0000
0.0000 4.1886 0.0000
0.0000 0.0000 5.3447
Nb Co W
1 5 1
Direct
0.0000 0.0000 0.5000
0.0000 0.5000 0.7614
0.0000 0.5000 0.2386
0.5000 0.0000 0.7614
0.5000 0.0000 0.2386
0.5000 0.5000 0.5000
0.5000 0.5000 0.0000
```

Output
Formation energy from the elements   6.2 kcal/mol of atoms
Spin magnetization   0.29 μB per atom
Energy   -56.678 eV per cell

Entry 21:
Density functional theory data (GGA-PBE) for an optimized crystal structure of Cr2WSe.

The structure in POSCAR format:
```
Cr2WSe
1.0
2.9925 0.0000 0.0000
0.0000 3.7723 0.0000
0.0000 0.0000 4.9743
Cr Se W
2 1 1
Direct
0.0000 0.0000 0.0083
0.0000 0.0000 0.4917
0.5000 0.5000 0.2500
0.5000 0.5000 0.7500
```

Output
Spin magnetization   0.17 μB per atom
Energy   -34.063 eV per cell
E_form (uncorrected)   1.62 eV/f.u.

Entry 22:
Density functional theory data (GGA-PBE) for an optimized crystal structure of TcPN2O.

The structure in POSCAR format:
```
TcPN2O
1.0
3.6687 0.0000 0.0000
0.0000 3.6687 0.0000
0.0000 0.0000 3.3405
P Tc O N
1 1 1 2
Direct
0.0000 0.0000 0.0000
0.5000 0.5000 0.5000
0.0000 0.0000 0.5000
0.0000 0.5000 0.0000
0.5000 0.0000 0.0000
```

Output
Spin magnetization   0.62 μB per atom
Energy   -34.539 eV per cell
E_form (uncorrected)   2.85 eV/f.u.

Entry 23:
Density functional theory data (GGA-PBE) for an optimized crystal structure of SmAl3Ni2.

The structure in POSCAR format:
```
SmAl3Ni2
1.0
5.1217 0.0000 0.0000
0.0000 6.1750 -1.3816
0.0000 -0.1130 6.3267
Sm Al Ni
2 6 4
Direct
0.2500 0.3433 0.3433
0.7500 0.6567 0.6567
0.7500 0.4722 0.0864
0.7500 0.0864 0.4722
0.2500 0.5278 0.9136
0.7500 0.0549 0.0549
0.2500 0.9451 0.9451
0.2500 0.9136 0.5278
0.5000 0.7961 0.2039
0.0000 0.7961 0.2039
0.0000 0.2039 0.7961
0.5000 0.2039 0.7961
```

Output
Formation energy from the elements   -14.4 kcal/mol of atoms
Spin magnetization   0.00 μB per atom
Energy   -62.495 eV per cell

Entry 24:
Density functional theory data (GGA-PBE) for an optimized crystal structure of RbB2AuF8.

The structure in POSCAR format:
```
RbB2AuF8
1.0
5.2556 0.0000 0.0000
2.6278 4.5515 0.0000
2.6278 1.5172 7.8087
Rb B Au F
1 2 1 8
Direct
0.5000 0.5000 0.5000
0.2500 0.2500 0.2499
0.7500 0.7500 0.7501
0.0000 0.0000 0.0000
0.1894 0.1894 0.4318
0.5042 0.3075 0.1910
0.8106 0.8106 0.5682
0.9973 0.5042 0.1910
0.0027 0.4958 0.8090
0.3075 0.9973 0.1910
0.6925 0.0027 0.8090
0.4958 0.6925 0.8090
```

Output
Spin magnetization   0.01 μB per atom
Energy   -62.532 eV per cell
E_form (uncorrected)   -29.96 eV/f.u.